Record 1
Material: Zr3Bi4Au4
Method: DFT, PBE
State: relaxed

Geometry as CIF:
```
data_Zr3Bi4Au4
_chemical_formula_sum 'Zr6 Bi8 Au8'
_symmetry_space_group_name_H-M 'I -4 2 m'
_symmetry_Int_Tables_number 121
_symmetry_space_group_name_Hall 'I -4 2'
_cell_length_a 6.707
_cell_length_b 6.707
_cell_length_c 13.352
_cell_angle_alpha 90.00
_cell_angle_beta 90.00
_cell_angle_gamma 90.00
loop_
_atom_site_label
_atom_site_type_symbol
_atom_site_fract_x
_atom_site_fract_y
_atom_site_fract_z
_atom_site_occupancy
Zr1 Zr 0.000 0.000 0.000 1
Zr2 Zr 0.000 0.500 0.250 1
Bi1 Bi 0.000 0.000 0.276 1
Bi2 Bi 0.000 0.500 0.000 1
Au1 Au 0.231 0.231 0.127 1
```

Density = 10.49 g/cm3
Magnetization = 0.149 μB per cell
Energy = -5.11 eV per atom

Record 2
Material: Zr3Bi5Au
Method: DFT, PBE
State: relaxed

Geometry as CIF:
```
data_Zr3Bi5Au
_chemical_formula_sum 'Zr3 Bi5 Au1'
_symmetry_space_group_name_H-M 'P 6/m m m'
_symmetry_Int_Tables_number 191
_symmetry_space_group_name_Hall '-P 6 2'
_cell_length_a 5.9395
_cell_length_b 5.9395
_cell_length_c 8.8169
_cell_angle_alpha 90.00
_cell_angle_beta 90.00
_cell_angle_gamma 120.00
loop_
_atom_site_label
_atom_site_type_symbol
_atom_site_fract_x
_atom_site_fract_y
_atom_site_fract_z
_atom_site_occupancy
Zr1 Zr 0.0000 0.5000 0.0000 1
Bi1 Bi 0.0000 0.0000 0.0000 1
Bi2 Bi 0.3333 0.6667 0.3044 1
Au1 Au 0.0000 0.0000 0.5000 1
```

Density = 9.34 g/cm3
Magnetization = 0.064 μB per cell
Energy = -5.44 eV per atom

Record 3
Material: ZrBiAu2
Method: DFT, PBE
State: relaxed

Geometry as CIF:
```
data_ZrBiAu2
_chemical_formula_sum 'Zr4 Bi4 Au8'
_symmetry_space_group_name_H-M 'F -4 3 m'
_symmetry_Int_Tables_number 216
_symmetry_space_group_name_Hall 'F -4 2 3'
_cell_length_a 7.015
_cell_length_b 7.015
_cell_length_c 7.015
_cell_angle_alpha 90.00
_cell_angle_beta 90.00
_cell_angle_gamma 90.00
loop_
_atom_site_label
_atom_site_type_symbol
_atom_site_fract_x
_atom_site_fract_y
_atom_site_fract_z
_atom_site_occupancy
Zr1 Zr 0.000 0.000 0.000 1
Bi1 Bi 0.250 0.250 0.750 1
Au1 Au 0.000 0.000 0.500 1
Au2 Au 0.250 0.250 0.250 1
```

Density = 13.35 g/cm3
Magnetization = 1.878 μB per cell
Energy = -4.88 eV per atom

Record 4
Material: ZrBi2Au
Method: DFT, PBE
State: relaxed

Geometry as CIF:
```
data_ZrBi2Au
_chemical_formula_sum 'Zr4 Bi8 Au4'
_symmetry_space_group_name_H-M 'F -4 3 m'
_symmetry_Int_Tables_number 216
_symmetry_space_group_name_Hall 'F -4 2 3'
_cell_length_a 7.352
_cell_length_b 7.352
_cell_length_c 7.352
_cell_angle_alpha 90.00
_cell_angle_beta 90.00
_cell_angle_gamma 90.00
loop_
_atom_site_label
_atom_site_type_symbol
_atom_site_fract_x
_atom_site_fract_y
_atom_site_fract_z
_atom_site_occupancy
Zr1 Zr 0.000 0.000 0.000 1
Bi1 Bi 0.000 0.000 0.500 1
Bi2 Bi 0.250 0.250 0.750 1
Au1 Au 0.250 0.250 0.250 1
```

Density = 11.80 g/cm3
Magnetization = 0.106 μB per cell
Energy = -4.88 eV per atom